No. 1
Computed, not measured: a geometry-optimized TcHg2Cl structure at the GGA-PBE level of DFT.

Geometry as POSCAR:
```
TcHg2Cl
1.0
3.262 0.000 0.000
0.000 5.539 0.000
-0.393 0.000 4.898
Tc Hg Cl
1 2 1
Cartesian
0.000 0.000 0.000 Tc
0.820 2.770 1.192 Hg
2.049 2.770 3.706 Hg
-0.197 0.000 2.449 Cl
```

Values from the calculation:
**Crystal system**: monoclinic
**Total energy**: -2.663 eV/atom
**Relative energy among the computed polymorphs**: 332 meV/atom
**Uncorrected formation energy**: 541 meV per atom
**Magnetic moment**: 2.69 μB per cell
**Space group**: P2/m, No. 10
**DOS at the Fermi energy**: 2.79 states/eV per cell

---

No. 2
Computed, not measured: a geometry-optimized CuAs structure at the GGA-PBE level of DFT.

Geometry as POSCAR:
```
CuAs
1.0
3.009 0.000 0.000
0.000 3.009 0.000
0.000 0.000 7.451
Cu As
2 2
Cartesian
0.752 0.752 0.728 Cu
2.257 2.257 6.723 Cu
0.752 0.752 5.286 As
2.257 2.257 2.165 As
```

Values from the calculation:
**Crystal system**: tetragonal
**Energy relative to the elements**: 0.1288 eV/atom
**Total energy**: -4.244 eV/atom
**Magnetic moment**: 0.00 μB per cell
**Space group**: P4/nmm, No. 129
**DOS at the Fermi energy**: 1.06 states/eV per cell

---

No. 3
Computed, not measured: a geometry-optimized CsPdRhCl6 structure at the GGA-PBE level of DFT.

Geometry as POSCAR:
```
CsPdRhCl6
1.0
6.442 0.000 0.000
-3.221 5.579 0.000
0.000 0.000 7.825
Cs Pd Rh Cl
1 1 1 6
Cartesian
0.000 0.000 0.000 Cs
3.221 1.860 3.913 Pd
0.000 3.719 3.913 Rh
-1.067 2.089 2.568 Cl
-1.945 3.610 5.258 Cl
1.067 2.089 5.258 Cl
-0.879 5.458 2.568 Cl
1.945 3.610 2.568 Cl
0.879 5.458 5.258 Cl
```

Values from the calculation:
**Crystal system**: trigonal
**Total energy**: -3.551 eV/atom
**Uncorrected formation energy**: -831 meV per atom
**Magnetic moment**: 2.00 μB per cell
**Space group**: P312, No. 149